# KNi2Hg, relaxed, DFT GGA-PBE
# - space-group type = Pmmm (47)
# - ΔE_f (eV/atom) = 0.7595
data_KNi2Hg
_symmetry_space_group_name_H-M 'P 1'
_symmetry_Int_Tables_number 1
_cell_length_a 2.971
_cell_length_b 4.820
_cell_length_c 5.266
_cell_angle_alpha 90.00
_cell_angle_beta 90.00
_cell_angle_gamma 90.00
loop_
_symmetry_equiv_pos_as_xyz
'x,y,z'
loop_
_atom_site_label
_atom_site_fract_x
_atom_site_fract_y
_atom_site_fract_z
K1 0.000 0.000 0.000
Ni1 0.000 0.500 0.500
Ni2 0.500 0.500 0.000
Hg1 0.500 0.000 0.500